Below is a relaxed structure of NiSbWO6, with properties calculated at the GGA+U level.

```
data_NiSbWO6
_symmetry_space_group_name_H-M 'P -3 1 c'
_symmetry_Int_Tables_number 163
_symmetry_space_group_name_Hall '-P 3 2c'
_cell_length_a 5.2755
_cell_length_b 5.2755
_cell_length_c 8.9273
_cell_angle_alpha 90.00
_cell_angle_beta 90.00
_cell_angle_gamma 120.00
loop_
_atom_site_label
_atom_site_type_symbol
_atom_site_fract_x
_atom_site_fract_y
_atom_site_fract_z
Ni1 Ni 0.0000 0.0000 0.0000
Sb1 Sb 0.3333 0.6667 0.2500
W1 W 0.3333 0.6667 0.7500
O1 O 0.0007 0.3509 0.1315
```

Results
DFT total energy in eV for the cell shown: -113.81